Entry 1:
{"formula": "KAcAu", "functional": "PBE", "state": "optimized geometry", "e_form_kj_per_mol_atoms": -33.4, "space_group": "P4/nmm", "lattice": [[-4.679, -3.062, 0.379], [-0.373, -0.121, -5.591], [4.496, -6.890, -0.151]], "species": ["K", "K", "Au", "Au", "Ac", "Ac"], "fractional_positions": [[0.000, 0.500, 0.908], [0.500, 0.000, 0.092], [0.000, 0.500, 0.324], [0.500, 0.000, 0.676], [0.500, 0.500, 0.500], [0.000, 0.000, 0.500]]}

=====

Entry 2:
{"formula": "Rb2NpPaS6", "functional": "PBE", "state": "optimized geometry", "formation_energy_uncorrected_ev_per_atom": -1.380, "space_group": "Fm-3m", "lattice": [[-1.510, 1.154, 7.158], [1.525, -7.097, 1.466], [5.020, -1.718, 5.166]], "species": ["Rb", "Rb", "Np", "Pa", "S", "S", "S", "S", "S", "S"], "fractional_positions": [[0.250, 0.750, 0.500], [0.750, 0.250, 0.500], [0.500, 0.500, 0.000], [0.000, 0.000, 0.000], [0.251, 0.749, 0.000], [0.749, 0.749, 0.000], [0.251, 0.251, 0.497], [0.749, 0.251, 0.000], [0.251, 0.251, 0.000], [0.749, 0.749, 0.503]]}

=====

Entry 3:
{"formula": "KLi2Co", "functional": "PBE", "state": "optimized geometry", "e_form_kj_per_mol_atoms": 67.7, "space_group": "Fm-3m", "lattice": [[0.000, 3.585, 3.585], [3.585, 0.000, 3.585], [3.585, 3.585, 0.000]], "species": ["K", "Co", "Li", "Li"], "fractional_positions": [[0.000, 0.000, 0.000], [0.500, 0.500, 0.500], [0.250, 0.250, 0.250], [0.750, 0.750, 0.750]]}

=====

Entry 4:
{"formula": "Tb6P3PbS2", "functional": "PBE", "state": "optimized geometry", "formation_energy_uncorrected_ev_per_atom": -1.559, "space_group": "C2/m", "lattice": [[4.023, 0.000, 0.000], [0.000, 8.246, 0.296], [-2.011, -2.374, 8.570]], "species": ["Tb", "Tb", "Tb", "Tb", "Tb", "Tb", "P", "P", "P", "Pb", "S", "S"], "fractional_positions": [[0.325, 0.917, 0.651], [0.666, 0.590, 0.331], [0.675, 0.083, 0.349], [0.000, 0.272, 0.001], [0.000, 0.728, 0.999], [0.334, 0.410, 0.669], [0.500, 0.500, 0.000], [0.834, 0.169, 0.668], [0.166, 0.831, 0.332], [0.500, 0.000, 0.000], [0.830, 0.660, 0.660], [0.170, 0.340, 0.340]]}

=====

Entry 5:
{"formula": "ErTm3Th2", "functional": "PBE", "state": "optimized geometry", "e_form_kj_per_mol_atoms": 14.2, "space_group": "C2/m", "lattice": [[3.376, 0.000, -0.641], [-0.333, 9.868, -1.753], [0.459, -1.634, 11.619]], "species": ["Er", "Er", "Tm", "Tm", "Tm", "Tm", "Tm", "Tm", "Th", "Th", "Th", "Th"], "fractional_positions": [[0.688, 0.037, 0.375], [0.312, 0.963, 0.625], [0.695, 0.712, 0.389], [0.932, 0.228, 0.864], [0.558, 0.444, 0.117], [0.305, 0.288, 0.611], [0.442, 0.556, 0.883], [0.068, 0.772, 0.136], [0.690, 0.375, 0.381], [0.310, 0.625, 0.619], [0.072, 0.135, 0.143], [0.928, 0.865, 0.857]]}

=====

Entry 6:
{"formula": "TlCd2Ir2", "functional": "PBE", "state": "optimized geometry", "e_form_kj_per_mol_atoms": 20.2, "space_group": "P4/mbm", "lattice": [[6.872, 0.000, 0.000], [0.000, 6.872, 0.000], [0.000, 0.000, 4.230]], "species": ["Tl", "Tl", "Ir", "Ir", "Ir", "Ir", "Cd", "Cd", "Cd", "Cd"], "fractional_positions": [[0.000, 0.000, 0.000], [0.500, 0.500, 0.000], [0.368, 0.868, 0.000], [0.868, 0.632, 0.000], [0.632, 0.132, 0.000], [0.132, 0.368, 0.000], [0.163, 0.663, 0.500], [0.663, 0.837, 0.500], [0.837, 0.337, 0.500], [0.337, 0.163, 0.500]]}

=====

Entry 7:
{"formula": "La2SbTe", "functional": "PBE", "state": "optimized geometry", "formation_energy_uncorrected_ev_per_atom": -0.898, "space_group": "I-42d", "lattice": [[-0.755, 1.779, -6.971], [-1.908, -6.808, -1.531], [-8.311, -0.826, -3.064]], "species": ["Sb", "Sb", "Te", "Te", "La", "La", "La", "La"], "fractional_positions": [[0.500, 0.500, 0.000], [0.250, 0.750, 0.500], [0.000, 0.000, 0.000], [0.750, 0.250, 0.500], [0.618, 0.125, 0.250], [0.132, 0.625, 0.250], [0.375, 0.382, 0.750], [0.875, 0.868, 0.750]]}

=====

Entry 8:
{"formula": "MgTl2Tc", "functional": "PBE", "state": "optimized geometry", "e_form_kj_per_mol_atoms": 46.7, "space_group": "R-3m", "lattice": [[-4.744, -7.235, 3.920], [-2.540, -8.886, 2.195], [-1.787, -7.775, 5.155]], "species": ["Mg", "Tc", "Tl", "Tl"], "fractional_positions": [[0.250, 0.250, 0.250], [0.750, 0.750, 0.750], [0.005, 0.005, 0.005], [0.495, 0.495, 0.495]]}

=====

Entry 9:
{"formula": "NaVCd", "functional": "PBE", "state": "optimized geometry", "e_form_kj_per_mol_atoms": 49.1, "space_group": "Fmmm", "lattice": [[-3.962, 3.361, 0.475], [-4.184, -1.030, 1.039], [-0.490, 2.477, 7.035]], "species": ["Na", "Na", "V", "V", "Cd", "Cd"], "fractional_positions": [[0.750, 0.500, 0.500], [0.250, 0.500, 0.500], [0.870, 0.259, 0.000], [0.130, 0.741, 0.000], [0.598, 0.000, 0.805], [0.402, 0.000, 0.195]]}

=====

Entry 10:
{"formula": "YTc4C2", "functional": "PBE", "state": "optimized geometry", "e_form_kj_per_mol_atoms": 4.7, "space_group": "Cmmm", "lattice": [[-2.222, -0.987, 3.069], [0.430, -3.818, -0.916], [5.295, 1.596, 4.347]], "species": ["Y", "Tc", "Tc", "Tc", "Tc", "C", "C"], "fractional_positions": [[0.000, 0.000, 0.000], [0.500, 0.823, 0.646], [0.000, 0.683, 0.367], [0.500, 0.177, 0.354], [0.000, 0.317, 0.633], [0.500, 0.630, 0.261], [0.500, 0.370, 0.739]]}

=====

Entry 11:
{"formula": "AcTb2Hg6", "functional": "PBE", "state": "optimized geometry", "e_form_kj_per_mol_atoms": -38.0, "space_group": "P6/mmm", "lattice": [[3.578, 0.000, 0.000], [0.000, 7.552, -4.360], [0.000, 0.000, 8.720]], "species": ["Ac", "Tb", "Tb", "Hg", "Hg", "Hg", "Hg", "Hg", "Hg"], "fractional_positions": [[0.000, 0.000, 0.000], [0.000, 0.333, 0.667], [0.000, 0.667, 0.333], [0.500, 0.338, 0.338], [0.500, 0.662, 0.662], [0.500, 0.000, 0.662], [0.500, 0.662, 0.000], [0.500, 0.338, 0.000], [0.500, 0.000, 0.338]]}

=====

Entry 12:
{"formula": "BeBiIrF2", "functional": "PBE", "state": "optimized geometry", "formation_energy_uncorrected_ev_per_atom": 0.119, "space_group": "P4/mmm", "lattice": [[4.326, 0.000, 0.000], [0.000, 5.435, 0.000], [0.000, 0.000, 4.326]], "species": ["Be", "Ir", "Bi", "F", "F"], "fractional_positions": [[0.000, 0.500, 0.000], [0.500, 0.500, 0.500], [0.000, 0.000, 0.000], [0.000, 0.000, 0.500], [0.500, 0.000, 0.000]]}

=====

Entry 13:
{"formula": "SrFeRu", "functional": "PBE", "state": "optimized geometry", "e_form_kj_per_mol_atoms": 27.5, "space_group": "P2_1/m", "lattice": [[-1.170, 3.625, -1.972], [-2.630, -2.207, -2.495], [-5.738, 1.141, 5.039]], "species": ["Sr", "Sr", "Fe", "Fe", "Ru", "Ru"], "fractional_positions": [[0.234, 0.601, 0.439], [0.738, 0.101, 0.075], [0.283, 0.601, 0.884], [0.689, 0.101, 0.629], [0.211, 0.101, 0.756], [0.761, 0.601, 0.757]]}

=====

Entry 14:
{"formula": "Co2H", "functional": "PBE", "state": "optimized geometry", "space_group": "Fmm2", "lattice": [[2.477, 0.067, 0.000], [-1.175, 2.182, 0.000], [-0.651, -1.124, 4.488]], "species": ["Co", "Co", "H"], "fractional_positions": [[0.612, 0.114, 0.726], [0.886, 0.388, 0.274], [0.080, 0.920, 0.000]]}

=====

Number 1: VASP energy -19.0 eV per cell. Number 2: VASP energy -62.9 eV per cell. Number 3: VASP energy -9.2 eV per cell. Number 4: VASP energy -74.7 eV per cell. Number 5: VASP energy -63.9 eV per cell. Number 6: VASP energy -41.7 eV per cell. Number 7: VASP energy -41.4 eV per cell. Number 8: VASP energy -14.8 eV per cell. Number 9: VASP energy -19.6 eV per cell. Number 10: VASP energy -66.0 eV per cell. Number 11: VASP energy -18.7 eV per cell. Number 12: VASP energy -19.6 eV per cell. Number 13: VASP energy -37.1 eV per cell. Number 14: VASP energy -17.0 eV per cell.